A plane-wave DFT calculation with PBE was carried out for AgGePbI5 after structural relaxation.

Calculated values
symmetry = C2/c, No. 15
formation energy without anion corrections = -0.31 eV per atom

Cell lengths 8.3187, 8.3187, 11.1960 Å; angles 103.47, 103.47, 104.81 degrees
Atoms (fractional coordinates):
Ag (0.0687, 0.9313, 0.7500)
Ag (0.9313, 0.0687, 0.2500)
Ge (0.3838, 0.6162, 0.7500)
Ge (0.6162, 0.3838, 0.2500)
Pb (0.0000, 0.5000, 0.0000)
Pb (0.5000, 0.0000, 0.5000)
I (0.1514, 0.2968, 0.7911)
I (0.1798, 0.7311, 0.5580)
I (0.2689, 0.8202, 0.9420)
I (0.2968, 0.1514, 0.2911)
I (0.3693, 0.6307, 0.2500)
I (0.6307, 0.3693, 0.7500)
I (0.7032, 0.8486, 0.7089)
I (0.7311, 0.1798, 0.0580)
I (0.8202, 0.2689, 0.4420)
I (0.8486, 0.7032, 0.2089)